Record 1
VASP calculation (PBE) on a relaxed structure of SrTa3Sb.

Cell lengths 5.173, 5.173, 5.173 Å; angles 90.00, 90.00, 90.00 degrees
Sites, in units of the cell vectors:
Ta 0.000 0.000 0.500
Ta 0.000 0.500 0.000
Ta 0.500 0.000 0.000
Sb 0.000 0.000 0.000
Sr 0.500 0.500 0.500

Calculated values
* formation energy without anion corrections: 1.500 eV per atom
* excess energy over the best structure of this formula in the dataset: 0.0000 eV/atom
* crystal system: cubic
* symmetry: No. 221

Record 2
VASP calculation (PBE) on a relaxed structure of AcNd2Mg2In2.

Cell lengths 5.094, 5.094, 9.943 Å; angles 75.16, 75.16, 60.00 degrees
Sites, in units of the cell vectors:
Nd 0.132 0.132 0.605
Nd 0.868 0.868 0.395
In 0.258 0.258 0.225
In 0.742 0.742 0.775
Mg 0.588 0.588 0.237
Mg 0.412 0.412 0.763
Ac 0.000 0.000 0.000

Calculated values
* crystal system: trigonal
* symmetry: No. 166
* E_form: -0.256 eV/atom

Record 3
VASP calculation (PBE) on a relaxed structure of Sr2EuGa.

Cell lengths 4.132, 4.132, 11.766 Å; angles 79.89, 79.89, 60.00 degrees
Each line ends with the local moment (μB).
Sites, in units of the cell vectors:
Ga 0.000 0.000 0.000  0.01
Sr 0.731 0.731 0.806  -0.01
Sr 0.269 0.269 0.194  -0.01
Eu 0.500 0.500 0.500  -6.98

Calculated values
* excess energy over the best structure of this formula in the dataset: 0.0927 eV/atom
* crystal system: trigonal
* symmetry: No. 166
* E_form: -0.068 eV/atom

Record 4
VASP calculation (PBE) on a relaxed structure of NiH5Pd4.

Cell lengths 4.122, 4.979, 4.979 Å; angles 80.13, 65.55, 65.55 degrees
Sites, in units of the cell vectors:
Pd 0.216 0.192 0.404
Pd 0.812 0.808 0.596
Pd 0.408 0.404 0.808
Pd 0.620 0.596 0.192
H 0.449 0.000 0.000
H 0.901 0.359 0.828
H 0.088 0.641 0.172
H 0.729 0.172 0.359
H 0.260 0.828 0.641
Ni 0.027 0.000 0.000

Calculated values
* total DFT energy (no corrections): -4.381 eV/atom
* crystal system: tetragonal
* symmetry: No. 79

Record 5
VASP calculation (PBE) on a relaxed structure of Cs3IF6.

Cell lengths 6.829, 6.829, 7.897 Å; angles 64.38, 64.38, 90.00 degrees
Sites, in units of the cell vectors:
Cs 0.750 0.250 0.500
Cs 0.000 0.000 0.000
Cs 0.250 0.750 0.500
F 0.229 0.229 0.542
F 0.288 0.712 0.000
F 0.771 0.771 0.458
F 0.712 0.712 0.000
F 0.712 0.288 0.000
F 0.288 0.288 0.000
I 0.500 0.500 0.000

Calculated values
* formation energy without anion corrections: -2.150 eV per atom
* excess energy over the best structure of this formula in the dataset: 0.0793 eV/atom
* crystal system: tetragonal
* symmetry: No. 139

Record 6
VASP calculation (PBE) on a relaxed structure of Nd2DyEr8.

Cell lengths 6.583, 6.632, 8.865 Å; angles 99.43, 111.80, 90.00 degrees
Sites, in units of the cell vectors:
Nd 0.755 0.689 0.510
Nd 0.245 0.311 0.490
Er 0.825 0.401 0.173
Er 0.199 0.802 0.399
Er 0.347 0.401 0.173
Er 0.175 0.599 0.827
Er 0.801 0.198 0.601
Er 0.653 0.599 0.827
Er 0.411 0.094 0.823
Er 0.589 0.906 0.177
Dy 0.000 0.000 0.000

Calculated values
* excess energy over the best structure of this formula in the dataset: 0.0141 eV/atom
* crystal system: monoclinic
* symmetry: No. 12
* E_form: 0.175 eV/atom